1.
VASP calculation (PBE) on crystalline ErSi2Ir at its relaxed geometry.

Computed properties:
- Energy: -0.258 hartree per atom
- Spin magnetization: 0.0 μB/cell
- Uncorrected formation energy: -0.95 eV per atom

```
ErSi2Ir
1.0
4.0392 0.0000 -0.9385
-0.9499 7.5133 -4.0883
0.0151 0.0935 9.2266
Si Er Ir
8 4 4
Cartesian
0.2388 0.5894 1.0277
2.7939 0.4102 2.8635
3.3469 3.2764 5.2436
0.3105 7.1966 1.3364
2.8656 7.0174 3.1722
-0.2425 4.3304 -1.0437
0.5998 4.9083 2.5815
2.5046 2.6984 1.6184
1.7769 1.9195 -1.5137
2.1835 5.3336 0.2363
0.9209 2.2732 3.9636
1.3124 5.5938 -3.5130
-0.2607 6.7637 -1.1219
3.3651 0.8431 5.3218
0.2169 2.9863 0.9335
2.8875 4.6205 3.2664
```



2.
VASP calculation (PBE) on crystalline MnPAuSN at its relaxed geometry.

Computed properties:
- Energy above the lowest structure with this stoichiometry: 0.141 eV per atom
- Energy: -0.221 hartree per atom
- Spin magnetization: 0.0 μB/cell
- Uncorrected formation energy: 0.04 eV per atom

```
MnPAuSN
1.0
2.7739 0.0000 0.0000
0.0000 2.8265 0.0000
0.0000 0.0000 8.7307
S N P Mn Au
1 1 1 1 1
Cartesian
0.0000 1.4132 6.3180
0.0000 0.0000 0.2389
0.0000 1.4132 1.2730
1.3870 0.0000 7.4380
0.0000 1.4132 3.7276
```



3.
VASP calculation (PBE) on crystalline CsNa2TlHg4 at its relaxed geometry.

Computed properties:
- ΔE_f: -4.4 kcal/mol of atoms
- Energy: -0.039 hartree per atom
- Spin magnetization: 0.0 μB/cell

```
CsNa2TlHg4
1.0
-3.7190 3.7023 0.7111
-1.3428 1.4977 4.8988
6.1531 9.6617 1.5951
Tl Hg Cs Na
1 4 1 2
Cartesian
0.5457 7.4309 3.6025
-1.7691 5.0901 3.6836
2.8604 9.7716 3.5214
-2.1533 8.1412 5.5079
3.2446 6.7206 1.6971
0.0000 0.0000 0.0000
0.1838 10.5045 5.4260
0.9075 4.3573 1.7790
```



4.
VASP calculation (PBE) on crystalline Pr14NdTl at its relaxed geometry.

Computed properties:
- ΔE_f: -0.6 kcal/mol of atoms
- Energy: -0.171 hartree per atom
- Spin magnetization: 0.0 μB/cell

```
Pr14NdTl
1.0
-6.2436 1.8510 -3.3767
-0.0534 -6.4732 -3.4504
-5.4609 -4.1302 7.8331
Nd Pr Tl
1 14 1
Cartesian
-5.4693 0.8098 -3.3859
-2.3481 -0.1155 -1.6979
-5.0792 -2.1814 2.2179
-4.9680 -8.5265 2.4727
-5.2438 -2.3080 -1.4830
-8.2255 -4.4909 -1.1934
-8.2023 -1.2519 0.5307
-4.9399 -5.3264 4.1773
-2.1834 -6.4204 -1.5215
-8.0255 -4.4119 2.5070
-5.2705 -5.5070 -3.1897
-5.1036 -5.4188 0.4938
-5.4960 -2.4261 -5.1108
-8.0532 -7.6117 0.8019
-2.1572 -3.2217 0.1857
-2.3755 -3.3506 -3.4228
```



5.
VASP calculation (PBE) on crystalline ZnIr2Pb at its relaxed geometry.

Computed properties:
- ΔE_f: 5.9 kcal/mol of atoms
- Energy above the lowest structure with this stoichiometry: 0.039 eV per atom
- Energy: -0.199 hartree per atom
- Spin magnetization: 0.0 μB/cell

```
ZnIr2Pb
1.0
-2.3938 -1.4938 1.3888
1.7475 -0.0749 2.9314
-2.4758 5.4694 1.6157
Ir Pb Zn
2 1 1
Cartesian
-1.2974 2.8661 0.8467
-2.4163 5.3381 1.5769
-0.9421 0.5830 2.5640
-2.1800 3.3177 3.3719
```



6.
VASP calculation (PBE) on crystalline Cd2CoPb at its relaxed geometry.

Computed properties:
- ΔE_f: 6.2 kcal/mol of atoms
- Energy: -0.106 hartree per atom
- Spin magnetization: 0.7 μB/cell

```
Cd2CoPb
1.0
5.0264 0.0579 -0.0699
3.9650 3.0898 -0.0699
2.6981 0.9446 5.6912
Pb Cd Co
1 2 1
Cartesian
2.7213 0.9527 2.1103
9.3799 3.2838 4.1377
0.2262 0.0792 0.0240
5.2067 1.8228 2.0549
```